A geometry-optimized YHf3Pt structure, computed with PBE.

a = 5.020 Å, b = 5.020 Å, c = 5.020 Å
α = 90.00°, β = 90.00°, γ = 90.00°
Element x y z (fractional)
Pt 0.500 0.500 0.500
Hf 0.500 0.000 0.000
Hf 0.000 0.000 0.500
Hf 0.000 0.500 0.000
Y 0.000 0.000 0.000

Properties
ΔH_f (0 K): 160.1 kJ/mol of atoms
offset from the most stable computed form: 1569 meV/atom

A geometry-optimized InAuS2 structure, computed with PBE.

a = 13.224 Å, b = 8.214 Å, c = 8.214 Å
α = 91.66°, β = 98.64°, γ = 81.36°
Element x y z (fractional)
Au 0.112 0.824 0.895
Au 0.610 0.078 0.876
Au 0.888 0.176 0.105
Au 0.890 0.376 0.578
Au 0.110 0.624 0.422
Au 0.390 0.922 0.124
Au 0.388 0.395 0.324
Au 0.612 0.605 0.676
In 0.365 0.401 0.754
In 0.635 0.599 0.246
In 0.865 0.746 0.099
In 0.641 0.097 0.328
In 0.859 0.828 0.597
In 0.141 0.172 0.403
In 0.135 0.254 0.901
In 0.359 0.903 0.672
S 0.035 0.300 0.143
S 0.535 0.357 0.200
S 0.967 0.824 0.366
S 0.748 0.031 0.088
S 0.252 0.969 0.912
S 0.248 0.412 0.469
S 0.750 0.540 0.040
S 0.250 0.460 0.960
S 0.033 0.176 0.634
S 0.250 0.903 0.403
S 0.965 0.700 0.857
S 0.467 0.134 0.676
S 0.750 0.097 0.597
S 0.752 0.588 0.531
S 0.465 0.643 0.800
S 0.533 0.866 0.324

Properties
ΔE_f (raw): -1.28 eV per formula unit

A geometry-optimized MnAlP2 structure, computed with PBE.

a = 7.756 Å, b = 7.756 Å, c = 7.756 Å
α = 21.48°, β = 21.48°, γ = 21.48°
Site moments in Bohr magnetons follow the coordinates.
Element x y z (fractional)
Mn 0.743 0.743 0.743  0.91
Al 0.495 0.495 0.495  -0.01
P 0.012 0.012 0.012  -0.01
P 0.251 0.251 0.251  0.02

Properties
ΔH_f (0 K): 5.0 kJ/mol of atoms

no.,total moment (Bohr magnetons per cell),calculated volume (Å³/cell),Fermi-level density of states (states/eV per atom)
1,0.00,126.49,1.5734
2,0.00,872.18,0.0000
3,0.94,54.79,0.6128